8
Lattice="3.503 0.000 0.000 0.000 6.067 0.105 0.000 -2.121 5.696" Properties=species:S:1:pos:R:3 comment="Ce2YTmN4 (PBE, relaxed)" formation_energy_uncorrected_ev_per_atom=-1.612 crystal_system=monoclinic n_ef_per_ev_cell=4.47 total_magnetization_mub_per_fu=0.570 pbc="T T T"
Tm 0.000 0.000 0.000
N 1.751 0.967 1.417
N 0.000 4.040 1.485
N 1.751 2.978 4.385
N 0.000 -0.095 4.317
Ce 1.751 -1.061 2.848
Ce 0.000 1.973 2.901
Y 1.751 3.033 0.053

***

12
Lattice="6.079 -0.001 0.000 -3.039 5.265 0.000 -1.014 -1.756 5.740" Properties=species:S:1:pos:R:3 comment="Ce3Y2TmN6 (PBE, relaxed)" formation_energy_uncorrected_ev_per_atom=-1.604 crystal_system=monoclinic n_ef_per_ev_cell=7.11 total_magnetization_mub_per_fu=0.870 pbc="T T T"
N 0.027 3.509 4.325
N 2.041 3.533 1.419
N 1.999 0.000 1.415
N 3.026 1.777 4.325
N -0.999 1.731 1.415
N -0.014 -0.024 4.321
Ce 4.053 -0.001 2.870
Ce -2.026 3.510 2.870
Ce 1.013 1.754 2.870
Y 0.001 3.510 0.000
Y 3.040 1.755 0.000
Tm 0.000 0.000 0.000

***

12
Lattice="-3.941 -1.909 4.181 1.696 -3.705 -4.478 5.067 -0.030 3.305" Properties=species:S:1:pos:R:3 comment="Ce2Y3TmN6 (PBE, relaxed)" formation_energy_uncorrected_ev_per_atom=-1.642 crystal_system=monoclinic n_ef_per_ev_cell=5.39 total_magnetization_mub_per_fu=0.273 pbc="T T T"
Y 1.411 -2.822 1.504
Y -0.473 -2.222 4.398
Y 3.295 -3.422 -1.390
Tm 0.000 0.000 0.000
N 1.625 -1.695 -0.693
N -0.430 -4.228 0.597
N -0.242 -1.100 2.174
N 3.252 -1.415 2.411
N 3.064 -4.543 0.834
N 1.197 -3.948 3.701
Ce -2.063 -2.507 1.295
Ce -0.183 -3.106 -1.593

***

18
Lattice="-2.941 1.522 1.318 -2.230 -3.444 -5.820 -1.979 -9.186 6.194" Properties=species:S:1:pos:R:3 comment="Ce2TmZrN5 (PBE, relaxed)" formation_energy_uncorrected_ev_per_atom=-1.436 crystal_system=orthorhombic total_magnetization_mub_per_fu=0.000 pbc="T T T"
N -0.609 -0.740 -0.505
N -5.704 -6.482 -0.423
N -4.733 -8.171 3.694
N -5.013 -9.859 0.199
N -3.478 -5.172 3.031
N -3.392 -1.721 -0.763
N -2.990 -2.769 -3.475
N -3.325 -7.375 1.098
N -2.347 -2.224 2.150
N -2.802 -4.723 -0.798
Tm -3.699 -10.333 3.678
Tm -4.389 -5.130 0.950
Ce -5.637 -7.998 1.477
Ce -1.475 -2.932 0.095
Ce -2.372 -7.218 3.043
Ce -4.617 -3.143 -1.855
Zr -3.488 -8.298 6.621
Zr -4.573 -7.037 -2.079

***

12
Lattice="-0.857 5.423 -1.829 -3.424 -4.270 -1.879 -2.002 0.502 5.466" Properties=species:S:1:pos:R:3 comment="CeTm2Zr3N6 (PBE, relaxed)" formation_energy_uncorrected_ev_per_atom=-1.724 crystal_system=monoclinic n_ef_per_ev_cell=5.11 total_magnetization_mub_per_fu=0.000 pbc="T T T"
N -2.064 -1.211 0.482
N -1.196 2.070 0.499
N -3.732 0.995 -1.344
N -2.551 0.659 3.102
N -5.087 -0.415 1.259
N -4.219 2.866 1.276
Zr -3.993 -2.390 0.862
Zr -3.141 0.827 0.879
Zr -2.290 4.045 0.896
Tm -1.713 2.193 -1.846
Tm -2.569 -1.040 -1.862
Ce 0.000 0.000 0.000

***

12
Lattice="-2.945 1.344 1.041 0.265 -3.205 4.888 4.198 7.401 2.319" Properties=species:S:1:pos:R:3 comment="CeTmZrN3 (PBE, relaxed)" formation_energy_uncorrected_ev_per_atom=-1.565 crystal_system=monoclinic n_ef_per_ev_cell=7.33 total_magnetization_mub_per_fu=0.000 pbc="T T T"
Zr -0.465 0.913 5.839
Zr 1.982 4.627 2.409
N -1.348 0.494 3.880
N 3.036 3.477 6.876
N 1.525 1.564 5.070
N -1.519 2.063 1.372
N -0.007 3.975 3.179
N 2.866 5.046 4.368
Tm -0.340 -1.790 4.127
Tm 1.857 7.330 4.121
Ce 0.861 4.034 5.557
Ce 0.657 1.505 2.691

***

8
Lattice="3.418 0.000 0.000 0.000 5.929 0.104 0.000 -2.072 5.655" Properties=species:S:1:pos:R:3 comment="Ce2TmZrN4 (PBE, relaxed)" formation_energy_uncorrected_ev_per_atom=-1.643 crystal_system=monoclinic n_ef_per_ev_cell=5.42 total_magnetization_mub_per_fu=0.000 pbc="T T T"
Ce 1.709 -1.036 2.827
Ce 0.000 1.928 2.879
N 0.000 -0.123 4.363
N 0.000 3.980 1.395
N 1.709 0.927 1.317
N 1.709 2.930 4.442
Zr 0.000 0.000 0.000
Tm 1.709 2.964 0.052

***

9
Lattice="-2.334 1.818 -1.875 -5.320 -2.929 0.511 -3.926 3.965 5.461" Properties=species:S:1:pos:R:3 comment="Ce4UN4 (PBE, relaxed)" formation_energy_uncorrected_ev_per_atom=-1.280 crystal_system=monoclinic n_ef_per_ev_cell=10.51 total_magnetization_mub_per_fu=0.096 pbc="T T T"
N -4.459 -1.633 0.697
N -7.120 4.486 3.400
N -9.252 1.437 3.098
N -2.327 1.417 0.999
Ce -7.015 1.992 4.122
Ce -3.613 1.989 3.155
Ce -4.564 0.862 -0.025
Ce -7.967 0.865 0.942
U -1.167 0.909 -0.937